1.
Here is a relaxed structure of CoH2I from Alexandria via LeMat-Bulk. Energies are from PBE.

Computed properties:
**D(E_F)**: 0.801 states/eV/atom
**Energy above the lowest structure with this stoichiometry**: 0 meV per atom
**Crystal system**: tetragonal
**E**: -3.266 eV per atom

Cell: 5.271 5.271 5.275 Å, 60.03 60.03 90.00°
Each line ends with the local moment (μB).
Element x y z (fractional)
I 0.750 0.250 0.500  0.10
I 0.000 0.000 0.000  0.10
H 0.376 0.625 0.250  -0.01
H 0.375 0.626 0.750  -0.01
H 0.374 0.125 0.250  -0.02
H 0.875 0.624 0.750  -0.01
Co 0.250 0.750 0.500  0.88
Co 0.500 0.500 0.000  0.88

=====

2.
Here is a relaxed structure of YScTeS2 from Alexandria via LeMat-Bulk. Energies are from PBE.

Computed properties:
**Uncorrected formation energy**: -1.128 eV/atom
**D(E_F)**: 0.066 states/eV/atom
**Crystal system**: tetragonal
**E**: -5.967 eV per atom

Cell: 4.834 5.612 4.834 Å, 90.00 90.00 90.00°
Element x y z (fractional)
S 0.500 0.000 0.000
S 0.000 0.000 0.500
Sc 0.000 0.000 0.000
Y 0.500 0.500 0.500
Te 0.000 0.500 0.000

=====

3.
Here is a relaxed structure of Tm6Pd3Pt from Alexandria via LeMat-Bulk. Energies are from PBE.

Computed properties:
**D(E_F)**: 0.688 states/eV/atom
**DFT formation energy**: -0.77 eV/atom
**Crystal system**: monoclinic
**E**: -5.616 eV per atom

Cell: 6.788 7.427 9.999 Å, 90.00 89.22 90.00°
Element x y z (fractional)
Pt 0.500 0.500 0.500
Pt 0.000 0.000 0.000
Pd 0.055 0.619 0.255
Pd 0.555 0.881 0.755
Pd 0.445 0.119 0.245
Pd 0.500 0.500 0.000
Pd 0.000 0.000 0.500
Pd 0.945 0.381 0.745
Tm 0.161 0.328 0.430
Tm 0.172 0.052 0.750
Tm 0.339 0.828 0.070
Tm 0.328 0.552 0.750
Tm 0.828 0.948 0.250
Tm 0.661 0.172 0.930
Tm 0.341 0.825 0.425
Tm 0.841 0.675 0.925
Tm 0.672 0.448 0.250
Tm 0.159 0.325 0.075
Tm 0.659 0.175 0.575
Tm 0.839 0.672 0.570

=====

4.
Here is a relaxed structure of Ca2YRe from Alexandria via LeMat-Bulk. Energies are from PBE.

Computed properties:
**D(E_F)**: 0.916 states/eV/atom
**Energy above the lowest structure with this stoichiometry**: 228 meV per atom
**DFT formation energy**: 0.61 eV/atom
**Crystal system**: tetragonal
**E**: -5.115 eV per atom

Cell: 4.507 4.507 5.045 Å, 90.00 90.00 90.00°
Element x y z (fractional)
Re 0.500 0.000 0.500
Y 0.000 0.500 0.500
Ca 0.000 0.000 0.000
Ca 0.500 0.500 0.000

=====

5.
Here is a relaxed structure of Mn3Zn5 from Alexandria via LeMat-Bulk. Energies are from PBE.

Computed properties:
**D(E_F)**: 0.949 states/eV/atom
**DFT formation energy**: 0.21 eV/atom
**Crystal system**: hexagonal
**E**: -4.022 eV per atom

Cell: 7.539 7.540 4.848 Å, 90.00 90.00 59.97°
Each line ends with the local moment (μB).
Element x y z (fractional)
Zn 0.667 0.667 0.500  -0.06
Zn 0.333 0.333 0.000  -0.06
Zn 0.000 0.766 0.250  -0.03
Zn 0.234 0.766 0.750  -0.03
Zn 0.333 0.333 0.500  -0.06
Zn 0.766 0.234 0.250  -0.03
Zn 0.234 0.000 0.250  -0.03
Zn 0.000 0.234 0.750  -0.03
Zn 0.667 0.667 0.000  -0.06
Zn 0.766 0.000 0.750  -0.03
Mn 0.000 0.401 0.250  3.27
Mn 0.599 0.000 0.250  3.27
Mn 0.000 0.599 0.750  3.27
Mn 0.401 0.599 0.250  3.27
Mn 0.599 0.401 0.750  3.27
Mn 0.401 0.000 0.750  3.27

=====

6.
Here is a relaxed structure of TbThBiPb from Alexandria via LeMat-Bulk. Energies are from PBE.

Computed properties:
**D(E_F)**: 0.351 states/eV/atom
**DFT formation energy**: -0.55 eV/atom
**Crystal system**: trigonal
**E**: -5.464 eV per atom

Cell: 4.560 4.560 7.802 Å, 73.01 73.01 60.00°
Element x y z (fractional)
Tb 0.946 0.946 0.161
Pb 0.692 0.692 0.924
Bi 0.197 0.197 0.410
Th 0.442 0.442 0.675

=====

7.
Here is a relaxed structure of GaCuIrRu from Alexandria via LeMat-Bulk. Energies are from PBE.

Computed properties:
**D(E_F)**: 1.425 states/eV/atom
**DFT formation energy**: -0.05 eV/atom
**Crystal system**: cubic
**E**: -6.365 eV per atom

Cell: 4.255 4.255 4.255 Å, 60.00 60.00 60.00°
Element x y z (fractional)
Ru 0.750 0.750 0.750
Ga 0.500 0.500 0.500
Cu 0.000 0.000 0.000
Ir 0.250 0.250 0.250

=====

8.
Here is a relaxed structure of TaHg2P from Alexandria via LeMat-Bulk. Energies are from PBE.

Computed properties:
**D(E_F)**: 0.695 states/eV/atom
**DFT formation energy**: 0.58 eV/atom
**Crystal system**: tetragonal
**E**: -3.882 eV per atom

Cell: 7.813 7.813 6.128 Å, 50.39 50.39 90.00°
Element x y z (fractional)
P 0.250 0.750 0.500
P 0.500 0.500 0.000
Hg 0.875 0.855 0.750
Hg 0.605 0.125 0.250
Hg 0.375 0.395 0.750
Hg 0.145 0.625 0.250
Ta 0.750 0.250 0.500
Ta 0.000 0.000 0.000

=====

9.
Here is a relaxed structure of LiCu2Pt from Alexandria via LeMat-Bulk. Energies are from PBE.

Computed properties:
**D(E_F)**: 0.232 states/eV/atom
**Energy above the lowest structure with this stoichiometry**: 26 meV per atom
**DFT formation energy**: -0.25 eV/atom
**Crystal system**: orthorhombic
**E**: -4.288 eV per atom

Cell: 2.998 4.038 4.208 Å, 90.00 90.00 90.00°
Element x y z (fractional)
Cu 0.500 0.500 0.000
Cu 0.000 0.000 0.000
Li 0.500 0.000 0.500
Pt 0.000 0.500 0.500

=====

10.
Here is a relaxed structure of Y2B2Rh5Au from Alexandria via LeMat-Bulk. Energies are from PBE.

Computed properties:
**D(E_F)**: 0.346 states/eV/atom
**DFT formation energy**: -0.67 eV/atom
**Crystal system**: tetragonal
**E**: -7.303 eV per atom

Cell: 3.239 9.619 9.619 Å, 90.00 90.00 90.00°
Element x y z (fractional)
Y 0.000 0.177 0.323
Y 0.000 0.823 0.677
Y 0.000 0.677 0.177
Y 0.000 0.323 0.823
Rh 0.500 0.929 0.227
Rh 0.500 0.273 0.571
Rh 0.500 0.727 0.429
Rh 0.500 0.429 0.273
Rh 0.500 0.773 0.929
Rh 0.500 0.571 0.727
Rh 0.500 0.500 0.000
Rh 0.500 0.071 0.773
Rh 0.500 0.000 0.500
Rh 0.500 0.227 0.071
B 0.000 0.377 0.123
B 0.000 0.123 0.623
B 0.000 0.877 0.377
B 0.000 0.623 0.877
Au 0.000 0.000 0.000
Au 0.000 0.500 0.500

=====

11.
Here is a relaxed structure of Dy12Tm7Zr from Alexandria via LeMat-Bulk. Energies are from PBE.

Computed properties:
**D(E_F)**: 1.939 states/eV/atom
**Energy above the lowest structure with this stoichiometry**: 0 meV per atom
**DFT formation energy**: 0.26 eV/atom
**Crystal system**: trigonal
**E**: -4.489 eV per atom

Cell: 8.612 8.612 8.612 Å, 90.93 90.93 90.93°
Each line ends with the local moment (μB).
Element x y z (fractional)
Dy 0.645 0.551 0.877  -0.02
Dy 0.449 0.123 0.355  -0.02
Dy 0.632 0.776 0.234  -0.02
Dy 0.224 0.766 0.368  -0.02
Dy 0.551 0.877 0.645  -0.02
Dy 0.368 0.224 0.766  -0.02
Dy 0.766 0.368 0.224  -0.02
Dy 0.776 0.234 0.632  -0.02
Dy 0.123 0.355 0.449  -0.02
Dy 0.877 0.645 0.551  -0.02
Dy 0.355 0.449 0.123  -0.02
Dy 0.234 0.632 0.776  -0.02
Tm 0.929 0.024 0.331  0.10
Tm 0.976 0.669 0.071  0.10
Tm 0.024 0.331 0.929  0.10
Tm 0.331 0.929 0.024  0.10
Tm 0.500 0.500 0.500  0.02
Tm 0.071 0.976 0.669  0.10
Tm 0.669 0.071 0.976  0.10
Zr 0.000 0.000 0.000  0.70

=====

12.
Here is a relaxed structure of BOF2 from Alexandria via LeMat-Bulk. Energies are from PBE.

Computed properties:
**Uncorrected formation energy**: -0.562 eV/atom
**D(E_F)**: 0.018 states/eV/atom
**Energy above the lowest structure with this stoichiometry**: 0 meV per atom
**Crystal system**: cubic
**E**: -4.406 eV per atom

Cell: 4.656 4.656 4.654 Å, 59.99 59.99 90.00°
Each line ends with the local moment (μB).
Element x y z (fractional)
F 0.375 0.625 0.750  0.00
F 0.375 0.625 0.250  0.00
F 0.375 0.125 0.250  0.00
F 0.875 0.625 0.750  0.00
B 0.500 0.500 0.000  -0.01
B 0.250 0.750 0.500  -0.01
O 0.750 0.250 0.500  0.83
O 0.000 0.000 0.000  0.83

=====

13.
Here is a relaxed structure of Hf2InRh from Alexandria via LeMat-Bulk. Energies are from PBE.

Computed properties:
**D(E_F)**: 0.885 states/eV/atom
**DFT formation energy**: -0.38 eV/atom
**Crystal system**: tetragonal
**E**: -7.876 eV per atom

Cell: 4.054 4.365 4.365 Å, 90.00 90.00 90.00°
Element x y z (fractional)
Hf 0.000 0.000 0.500
Hf 0.000 0.500 0.000
In 0.500 0.000 0.000
Rh 0.500 0.500 0.500

=====

14.
Here is a relaxed structure of PmTlF from Alexandria via LeMat-Bulk. Energies are from PBE.

Computed properties:
**Uncorrected formation energy**: -1.889 eV/atom
**D(E_F)**: 0.114 states/eV/atom
**Energy above the lowest structure with this stoichiometry**: 0 meV per atom
**Crystal system**: monoclinic
**E**: -4.885 eV per atom

Cell: 3.833 4.760 8.096 Å, 97.58 103.69 90.00°
Element x y z (fractional)
F 0.230 0.814 0.960
F 0.770 0.186 0.040
Pm 0.359 0.173 0.218
Pm 0.641 0.827 0.782
Tl 0.940 0.720 0.380
Tl 0.060 0.280 0.620

=====

15.
Here is a relaxed structure of ThIn2 from Alexandria via LeMat-Bulk. Energies are from PBE.

Computed properties:
**D(E_F)**: 0.694 states/eV/atom
**DFT formation energy**: -0.05 eV/atom
**Crystal system**: monoclinic
**E**: -4.350 eV per atom

Cell: 4.416 4.416 4.914 Å, 106.14 106.14 89.95°
Element x y z (fractional)
In 0.135 0.135 0.320
In 0.865 0.865 0.680
Th 0.500 0.500 0.000

=====

16.
Here is a relaxed structure of CsUAg2I6 from Alexandria via LeMat-Bulk. Energies are from PBE.

Computed properties:
**Uncorrected formation energy**: -0.641 eV/atom
**Crystal system**: monoclinic
**E**: -3.355 eV per atom

Cell: 9.378 11.125 11.125 Å, 80.17 71.41 71.41°
Each line ends with the local moment (μB).
Element x y z (fractional)
I 0.457 0.856 0.410  -0.03
I 0.543 0.144 0.590  -0.03
I 0.967 0.296 0.462  0.00
I 0.674 0.818 0.948  -0.03
I 0.957 0.410 0.856  -0.03
I 0.326 0.182 0.052  -0.03
I 0.467 0.462 0.296  0.00
I 0.174 0.948 0.818  -0.03
I 0.043 0.590 0.144  -0.03
I 0.826 0.052 0.182  -0.03
I 0.533 0.538 0.704  0.00
I 0.033 0.704 0.538  0.00
U 0.750 0.811 0.189  2.89
U 0.250 0.189 0.811  2.89
Ag 0.868 0.513 0.617  0.00
Ag 0.632 0.383 0.487  0.00
Ag 0.132 0.487 0.383  0.00
Ag 0.368 0.617 0.513  0.00
Cs 0.250 0.830 0.170  0.00
Cs 0.750 0.170 0.830  0.00

=====

17.
Here is a relaxed structure of SrLiInHg from Alexandria via LeMat-Bulk. Energies are from PBE.

Computed properties:
**D(E_F)**: 0.468 states/eV/atom
**DFT formation energy**: -0.28 eV/atom
**Crystal system**: monoclinic
**E**: -1.936 eV per atom

Cell: 4.105 6.073 4.787 Å, 90.48 90.00 109.75°
Element x y z (fractional)
Sr 0.144 0.288 0.567
Li 0.517 0.033 0.063
Hg 0.422 0.843 0.561
In 0.814 0.627 0.066

=====

18.
Here is a relaxed structure of VOs2Ru2 from Alexandria via LeMat-Bulk. Energies are from PBE.

Computed properties:
**D(E_F)**: 1.034 states/eV/atom
**Energy above the lowest structure with this stoichiometry**: 0 meV per atom
**DFT formation energy**: 0.03 eV/atom
**Crystal system**: tetragonal
**E**: -10.001 eV per atom

Cell: 2.704 2.704 9.844 Å, 82.07 82.07 89.97°
Element x y z (fractional)
Os 0.598 0.398 0.204
Os 0.802 0.602 0.796
V 0.200 0.000 0.000
Ru 0.399 0.199 0.604
Ru 0.001 0.801 0.396

=====

19.
Here is a relaxed structure of HfZrV from Alexandria via LeMat-Bulk. Energies are from PBE.

Computed properties:
**D(E_F)**: 1.224 states/eV/atom
**Energy above the lowest structure with this stoichiometry**: 118 meV per atom
**DFT formation energy**: 0.27 eV/atom
**Crystal system**: trigonal
**E**: -8.938 eV per atom

Cell: 3.174 3.174 7.221 Å, 77.30 77.30 60.00°
Each line ends with the local moment (μB).
Element x y z (fractional)
Zr 0.337 0.337 0.990  0.02
Hf 0.542 0.542 0.374  0.01
V 0.107 0.107 0.679  1.24

=====

20.
Here is a relaxed structure of Co2Pd2Pt from Alexandria via LeMat-Bulk. Energies are from PBE.

Computed properties:
**D(E_F)**: 1.294 states/eV/atom
**Energy above the lowest structure with this stoichiometry**: 173 meV per atom
**DFT formation energy**: 0.16 eV/atom
**Crystal system**: tetragonal
**E**: -5.970 eV per atom

Cell: 7.122 7.122 2.788 Å, 90.00 90.00 90.00°
Each line ends with the local moment (μB).
Element x y z (fractional)
Pd 0.178 0.678 0.500  0.35
Pd 0.678 0.822 0.500  0.34
Pd 0.322 0.178 0.500  0.34
Pd 0.822 0.322 0.500  0.35
Co 0.883 0.617 0.000  1.97
Co 0.117 0.383 0.000  1.97
Co 0.617 0.117 0.000  1.98
Co 0.383 0.883 0.000  1.98
Pt 0.500 0.500 0.000  0.20
Pt 0.000 0.000 0.000  0.20

=====

21.
Here is a relaxed structure of Cs2FeAsCl6 from Alexandria via LeMat-Bulk. Energies are from PBE.

Computed properties:
**Uncorrected formation energy**: -1.116 eV/atom
**D(E_F)**: 0.000 states/eV/atom
**Crystal system**: tetragonal
**E**: -3.706 eV per atom

Cell: 7.303 7.303 7.637 Å, 61.44 61.44 90.00°
Each line ends with the local moment (μB).
Element x y z (fractional)
Cl 0.756 0.756 0.000  0.01
Cl 0.244 0.756 0.000  0.01
Cl 0.704 0.704 0.593  0.04
Cl 0.296 0.296 0.407  0.04
Cl 0.244 0.244 0.000  0.01
Cl 0.756 0.244 0.000  0.01
As 0.000 0.000 0.000  -0.34
Cs 0.250 0.750 0.500  0.00
Cs 0.750 0.250 0.500  0.00
Fe 0.500 0.500 0.000  3.39

=====

22.
Here is a relaxed structure of Al2S3 from Alexandria via LeMat-Bulk. Energies are from PBE.

Computed properties:
**Uncorrected formation energy**: -0.644 eV/atom
**D(E_F)**: 0.257 states/eV/atom
**Crystal system**: triclinic
**E**: -4.618 eV per atom

Cell: 6.620 7.219 19.095 Å, 67.40 91.02 109.52°
Element x y z (fractional)
Al 0.117 0.923 0.215
Al 0.484 0.244 0.958
Al 0.244 0.864 0.094
Al 0.625 0.232 0.326
Al 0.700 0.128 0.528
Al 0.535 0.360 0.086
Al 0.044 0.447 0.181
Al 0.685 0.493 0.401
Al 0.001 0.969 0.349
Al 0.451 0.386 0.759
Al 0.434 0.901 0.724
Al 0.328 0.214 0.625
S 0.598 0.070 0.078
S 0.783 0.808 0.279
S 0.594 0.566 0.963
S 0.392 0.024 0.825
S 0.970 0.428 0.461
S 0.774 0.965 0.653
S 0.018 0.312 0.311
S 0.574 0.495 0.640
S 0.397 0.222 0.505
S 0.801 0.748 0.465
S 0.589 0.922 0.457
S 0.162 0.262 0.125
S 0.275 0.550 0.796
S 0.314 0.944 0.314
S 0.700 0.445 0.180
S 0.663 0.243 0.852
S 0.143 0.008 0.982
S 0.011 0.235 0.661

=====

23.
Here is a relaxed structure of CrWCl3 from Alexandria via LeMat-Bulk. Energies are from PBE.

Computed properties:
**Uncorrected formation energy**: 0.632 eV/atom
**D(E_F)**: 1.101 states/eV/atom
**Energy above the lowest structure with this stoichiometry**: 189 meV per atom
**Crystal system**: cubic
**E**: -4.991 eV per atom

Cell: 4.865 4.865 4.865 Å, 90.00 90.00 90.00°
Each line ends with the local moment (μB).
Element x y z (fractional)
W 0.500 0.500 0.500  3.59
Cl 0.000 0.000 0.500  0.03
Cl 0.500 0.000 0.000  0.00
Cl 0.000 0.500 0.000  0.00
Cr 0.000 0.000 0.000  3.63